HfTi2: relaxed, PBE.

Properties
- Energy of formation: 92 meV per atom
- V: 57.07 Å³ per cell
- Electronic total energy: -25.468 eV per cell

a = 3.029 Å, b = 3.029 Å, c = 6.578 Å
α = 103.31°, β = 103.31°, γ = 90.00°
Fractional coordinates of all 3 atoms:
Ti 0.328 0.328 0.655
Hf 0.000 0.000 0.000
Ti 0.672 0.672 0.345


La2CrFe: relaxed, PBE.

Properties
- Energy of formation: 387 meV per atom
- V: 96.93 Å³ per cell
- Electronic total energy: -26.392 eV per cell
- Offset from the most stable computed form: 0.66 kcal/mol of atoms

a = 5.156 Å, b = 5.156 Å, c = 5.156 Å
α = 60.00°, β = 60.00°, γ = 60.00°
Fractional coordinates of all 4 atoms:
Fe 0.500 0.500 0.500
La 0.750 0.750 0.750
La 0.250 0.250 0.250
Cr 0.000 0.000 0.000


La2PaTl: relaxed, PBE.

Properties
- Energy of formation: 214 meV per atom
- V: 121.52 Å³ per cell
- Electronic total energy: -20.859 eV per cell
- Offset from the most stable computed form: 5.89 kcal/mol of atoms

a = 5.560 Å, b = 5.560 Å, c = 5.560 Å
α = 60.00°, β = 60.00°, γ = 60.00°
Fractional coordinates of all 4 atoms:
La 0.750 0.750 0.750
Tl 0.500 0.500 0.500
Pa 0.000 0.000 0.000
La 0.250 0.250 0.250


Co3ReSb: relaxed, PBE.

Properties
- V: 89.65 Å³ per cell
- Uncorrected formation energy: 6.39 eV per formula unit
- Electronic total energy: -31.501 eV per cell
- Offset from the most stable computed form: 0.00 kcal/mol of atoms

a = 4.476 Å, b = 4.476 Å, c = 4.476 Å
α = 90.00°, β = 90.00°, γ = 90.00°
Fractional coordinates of all 5 atoms:
Re 0.000 0.000 0.000
Co 0.000 0.500 0.000
Co 0.500 0.000 0.000
Co 0.000 0.000 0.500
Sb 0.500 0.500 0.500


Mn3TlSe: relaxed, PBE.

Properties
- V: 137.60 Å³ per cell
- Uncorrected formation energy: 5.70 eV per formula unit
- Electronic total energy: -27.659 eV per cell
- Offset from the most stable computed form: 15.45 kcal/mol of atoms

a = 5.163 Å, b = 5.163 Å, c = 5.163 Å
α = 90.00°, β = 90.00°, γ = 90.00°
Fractional coordinates of all 5 atoms:
Tl 0.000 0.000 0.000
Mn 0.000 0.000 0.500
Mn 0.000 0.500 0.000
Se 0.500 0.500 0.500
Mn 0.500 0.000 0.000


LaSmZnPt: relaxed, PBE.

Properties
- Energy of formation: -683 meV per atom
- V: 97.72 Å³ per cell
- Electronic total energy: -19.693 eV per cell

a = 5.170 Å, b = 5.170 Å, c = 5.170 Å
α = 60.00°, β = 60.00°, γ = 60.00°
Fractional coordinates of all 4 atoms:
Zn 0.250 0.250 0.250
La 0.500 0.500 0.500
Sm 0.000 0.000 0.000
Pt 0.750 0.750 0.750


EuMgInBi: relaxed, PBE.

Properties
- Energy of formation: -344 meV per atom
- V: 115.41 Å³ per cell
- Electronic total energy: -19.865 eV per cell

a = 5.465 Å, b = 5.465 Å, c = 5.465 Å
α = 60.00°, β = 60.00°, γ = 60.00°
Fractional coordinates of all 4 atoms:
Eu 0.500 0.500 0.500
Mg 0.000 0.000 0.000
In 0.750 0.750 0.750
Bi 0.250 0.250 0.250


Ca3Tb2PmTe6: relaxed, PBE.

Properties
- V: 373.73 Å³ per cell
- Uncorrected formation energy: -17.76 eV per formula unit
- Electronic total energy: -56.624 eV per cell

a = 7.644 Å, b = 7.644 Å, c = 7.810 Å
α = 99.42°, β = 99.42°, γ = 119.94°
Fractional coordinates of all 12 atoms:
Te 0.744 0.744 0.248
Te 0.917 0.579 0.751
Ca 0.165 0.835 0.500
Te 0.083 0.421 0.249
Ca 0.835 0.165 0.500
Pm 0.000 0.000 0.000
Tb 0.333 0.667 0.000
Te 0.579 0.917 0.751
Te 0.421 0.083 0.249
Te 0.256 0.256 0.752
Ca 0.500 0.500 0.500
Tb 0.667 0.333 0.000


CoSb2As: relaxed, PBE.

Properties
- V: 82.52 Å³ per cell
- Uncorrected formation energy: 0.62 eV per formula unit
- Electronic total energy: -19.379 eV per cell

a = 3.789 Å, b = 3.789 Å, c = 6.989 Å
α = 74.17°, β = 74.17°, γ = 60.07°
Fractional coordinates of all 4 atoms:
Sb 0.512 0.512 0.462
Sb 0.988 0.988 0.038
Co 0.250 0.250 0.250
As 0.750 0.750 0.750


AlFeSb: relaxed, PBE.

Properties
- V: 50.47 Å³ per cell
- Uncorrected formation energy: 0.45 eV per formula unit
- Electronic total energy: -15.882 eV per cell
- Offset from the most stable computed form: 4.24 kcal/mol of atoms

a = 4.835 Å, b = 4.835 Å, c = 4.834 Å
α = 137.77°, β = 137.77°, γ = 61.28°
Fractional coordinates of all 3 atoms:
Sb 0.329 0.329 0.000
Al 0.006 0.006 0.000
Fe 0.665 0.665 0.000


MgAsRu: relaxed, PBE.

Properties
- Energy of formation: -76 meV per atom
- V: 53.36 Å³ per cell
- Electronic total energy: -15.749 eV per cell

a = 4.226 Å, b = 4.226 Å, c = 4.226 Å
α = 60.00°, β = 60.00°, γ = 60.00°
Fractional coordinates of all 3 atoms:
Ru 0.750 0.750 0.750
Mg 0.500 0.500 0.500
As 0.000 0.000 0.000


LaSb2W: relaxed, PBE.

Properties
- V: 97.40 Å³ per cell
- Uncorrected formation energy: 1.87 eV per formula unit
- Electronic total energy: -24.252 eV per cell
- Offset from the most stable computed form: 14.48 kcal/mol of atoms

a = 5.164 Å, b = 5.164 Å, c = 5.164 Å
α = 60.00°, β = 60.00°, γ = 60.00°
Fractional coordinates of all 4 atoms:
W 0.750 0.750 0.750
Sb 0.000 0.000 0.000
La 0.500 0.500 0.500
Sb 0.250 0.250 0.250